--- 1 ---
Computed, not measured: a relaxed Sm3Tl4 crystal at the PBE level of DFT.

Output
Volume (Å³/cell): 400.8
Space group: No. 148
Magnetization (μB/f.u.): 0.0

a = 8.6449 Å, b = 8.6449 Å, c = 8.6449 Å
α = 113.71°, β = 113.71°, γ = 113.71°
Closest atoms and distances in Å follow each position.
Fractional positions:
Sm 0.0060 0.3945 0.2696  9 Tl 3.21-3.55
Sm 0.2696 0.0060 0.3945  9 Tl 3.21-3.55
Sm 0.3945 0.2696 0.0060  9 Tl 3.21-3.55
Sm 0.6055 0.7304 0.9940  9 Tl 3.21-3.55
Sm 0.7304 0.9940 0.6055  9 Tl 3.21-3.55
Sm 0.9940 0.6055 0.7304  9 Tl 3.21-3.55
Tl 0.0000 0.0000 0.0000  6 Sm 3.23, 2 Tl 3.31
Tl 0.0941 0.2462 0.5596  7 Sm 3.21-3.55, 3 Tl 3.37-3.55
Tl 0.2462 0.5596 0.0941  7 Sm 3.21-3.55, 3 Tl 3.37-3.55
Tl 0.4404 0.9059 0.7538  7 Sm 3.21-3.55, 3 Tl 3.37-3.55
Tl 0.5000 0.5000 0.5000  8 Tl 3.31-3.68, 6 Sm 3.41
Tl 0.5596 0.0941 0.2462  7 Sm 3.21-3.55, 3 Tl 3.37-3.55
Tl 0.7538 0.4404 0.9059  7 Sm 3.21-3.55, 3 Tl 3.37-3.55
Tl 0.9059 0.7538 0.4404  7 Sm 3.21-3.55, 3 Tl 3.37-3.55



--- 2 ---
Computed, not measured: a relaxed Sm3Tl4 crystal at the PBE level of DFT.

Output
Volume (Å³/cell): 418.4
Space group: No. 220
Magnetization (μB/f.u.): 0.0

a = 8.1611 Å, b = 8.1611 Å, c = 8.1611 Å
α = 109.47°, β = 109.47°, γ = 109.47°
Closest atoms and distances in Å follow each position.
Fractional positions:
Sm 0.1250 0.8750 0.2500  8 Tl 3.25-3.27
Sm 0.2500 0.1250 0.8750  8 Tl 3.25-3.27
Sm 0.3750 0.6250 0.7500  8 Tl 3.25-3.27
Sm 0.6250 0.7500 0.3750  8 Tl 3.25-3.27
Sm 0.7500 0.3750 0.6250  8 Tl 3.25-3.27
Sm 0.8750 0.2500 0.1250  8 Tl 3.25-3.27
Tl 0.0000 0.1649 0.5000  6 Sm 3.25-3.27, 3 Tl 3.52
Tl 0.0000 0.6649 0.5000  6 Sm 3.25-3.27, 3 Tl 3.52
Tl 0.1649 0.5000 0.0000  6 Sm 3.25-3.27, 3 Tl 3.52
Tl 0.3351 0.3351 0.3351  6 Sm 3.25-3.27, 3 Tl 3.52
Tl 0.5000 0.0000 0.1649  6 Sm 3.25-3.27, 3 Tl 3.52
Tl 0.5000 0.0000 0.6649  6 Sm 3.25-3.27, 3 Tl 3.52
Tl 0.6649 0.5000 0.0000  6 Sm 3.25-3.27, 3 Tl 3.52
Tl 0.8351 0.8351 0.8351  6 Sm 3.25-3.27, 3 Tl 3.52



Quick one: most stable of them? 1



--- 1 ---
Computed, not measured: a relaxed Sm3Tl2 crystal at the PBE level of DFT.

Output
Volume (Å³/cell): 150.8
Space group: No. 139
Magnetization (μB/f.u.): 0.0

a = 11.7079 Å, b = 11.7079 Å, c = 11.7079 Å
α = 162.14°, β = 162.14°, γ = 25.36°
Closest atoms and distances in Å follow each position.
Fractional positions:
Sm 0.0000 0.0000 0.0000  8 Tl 3.37, 4 Sm 3.63
Sm 0.1915 0.1915 0.0000  4 Tl 3.37, 8 Sm 3.63-3.71
Sm 0.8085 0.8085 0.0000  4 Tl 3.37, 8 Sm 3.63-3.71
Tl 0.4042 0.4042 0.0000  8 Sm 3.37, 4 Tl 3.63
Tl 0.5958 0.5958 0.0000  8 Sm 3.37, 4 Tl 3.63



--- 2 ---
Computed, not measured: a relaxed Sm3Tl2 crystal at the PBE level of DFT.

Output
Volume (Å³/cell): 307.7
Space group: No. 141
Magnetization (μB/f.u.): 0.7

a = 9.1368 Å, b = 9.1368 Å, c = 9.1368 Å
α = 140.37°, β = 140.37°, γ = 57.30°
Closest atoms and distances in Å follow each position.
Fractional positions:
Sm 0.0000 0.0000 0.0000  2 Sm 3.10, 2 Tl 3.28
Sm 0.0000 0.0000 0.5000  2 Sm 3.10, 2 Tl 3.28
Sm 0.0000 0.5000 0.0000  2 Sm 3.10, 2 Tl 3.28
Sm 0.3750 0.6250 0.7500  6 Tl 3.13-3.22
Sm 0.5000 0.0000 0.5000  2 Sm 3.10, 2 Tl 3.28
Sm 0.6250 0.3750 0.2500  6 Tl 3.13-3.22
Tl 0.1800 0.4300 0.7500  5 Sm 3.13-3.28
Tl 0.4300 0.1800 0.2500  5 Sm 3.13-3.28
Tl 0.5700 0.8200 0.7500  5 Sm 3.13-3.28
Tl 0.8200 0.5700 0.2500  5 Sm 3.13-3.28



Quick one: most stable of them? 1



--- 1 ---
Computed, not measured: a relaxed Sm3Tl5 crystal at the PBE level of DFT.

Output
Volume (Å³/cell): 452.4
Space group: No. 63
Magnetization (μB/f.u.): 0.0

a = 6.5863 Å, b = 6.5863 Å, c = 10.6628 Å
α = 90.00°, β = 90.00°, γ = 77.99°
Closest atoms and distances in Å follow each position.
Fractional positions:
Sm 0.1166 0.8834 0.7500  9 Tl 3.16-3.51
Sm 0.2953 0.2953 0.0000  10 Tl 3.27-3.60
Sm 0.2953 0.2953 0.5000  10 Tl 3.27-3.60
Sm 0.7047 0.7047 0.0000  10 Tl 3.27-3.60
Sm 0.7047 0.7047 0.5000  10 Tl 3.27-3.60
Sm 0.8834 0.1166 0.2500  9 Tl 3.16-3.51
Tl 0.0107 0.4286 0.7500  4 Tl 3.18-3.37, 4 Sm 3.21-3.51
Tl 0.1955 0.8045 0.0396  6 Sm 3.16-3.46, 4 Tl 3.18-3.35
Tl 0.1955 0.8045 0.4604  6 Sm 3.16-3.46, 4 Tl 3.18-3.35
Tl 0.4286 0.0107 0.2500  4 Tl 3.18-3.37, 4 Sm 3.21-3.51
Tl 0.4953 0.5047 0.2500  5 Sm 3.22-3.39, 6 Tl 3.27-3.37
Tl 0.5047 0.4953 0.7500  5 Sm 3.22-3.39, 6 Tl 3.27-3.37
Tl 0.5714 0.9893 0.7500  4 Tl 3.18-3.37, 4 Sm 3.21-3.51
Tl 0.8045 0.1955 0.5396  6 Sm 3.16-3.46, 4 Tl 3.18-3.35
Tl 0.8045 0.1955 0.9604  6 Sm 3.16-3.46, 4 Tl 3.18-3.35
Tl 0.9893 0.5714 0.2500  4 Tl 3.18-3.37, 4 Sm 3.21-3.51



--- 2 ---
Computed, not measured: a relaxed Sm3Tl5 crystal at the PBE level of DFT.

Output
Volume (Å³/cell): 227.2
Space group: No. 65
Magnetization (μB/f.u.): 0.0

a = 6.7445 Å, b = 6.7445 Å, c = 5.0115 Å
α = 90.00°, β = 90.00°, γ = 94.66°
Closest atoms and distances in Å follow each position.
Fractional positions:
Sm 0.0000 0.0000 0.0000  8 Tl 3.25-3.37
Sm 0.2798 0.7202 0.5000  10 Tl 3.32-3.47
Sm 0.7202 0.2798 0.5000  10 Tl 3.32-3.47
Tl 0.0000 0.5000 0.0000  6 Tl 3.37-3.53, 6 Sm 3.37-3.40
Tl 0.2272 0.2272 0.5000  6 Sm 3.25-3.47, 6 Tl 3.53-3.54
Tl 0.5000 0.0000 0.0000  6 Tl 3.37-3.53, 6 Sm 3.37-3.40
Tl 0.5000 0.5000 0.0000  4 Sm 3.32, 8 Tl 3.37-3.54
Tl 0.7728 0.7728 0.5000  6 Sm 3.25-3.47, 6 Tl 3.53-3.54



Quick one: most stable of them? 1



--- 1 ---
Computed, not measured: a relaxed Sm6TmTl2 crystal at the PBE level of DFT.

Output
Volume (Å³/cell): 283.2
Space group: No. 12
Magnetization (μB/f.u.): 0.0

a = 6.7775 Å, b = 6.7775 Å, c = 12.0608 Å
α = 107.17°, β = 107.17°, γ = 32.50°
Closest atoms and distances in Å follow each position.
Fractional positions:
Sm 0.0165 0.0165 0.3437  2 Tl 3.31, 7 Sm 3.61-3.68
Sm 0.3069 0.3069 0.4095  2 Tl 3.41, 10 Sm 3.50-3.79
Sm 0.3176 0.3176 0.1231  2 Tl 3.35, 5 Sm 3.50-3.62, 2 Tm 3.69
Sm 0.6824 0.6824 0.8769  2 Tl 3.35, 5 Sm 3.50-3.62, 2 Tm 3.69
Sm 0.6931 0.6931 0.5905  2 Tl 3.41, 10 Sm 3.50-3.79
Sm 0.9835 0.9835 0.6563  2 Tl 3.31, 7 Sm 3.61-3.68
Tm 0.0000 0.0000 0.0000  4 Tl 3.12
Tl 0.3635 0.3635 0.8042  2 Tm 3.12, 6 Sm 3.31-3.41
Tl 0.6365 0.6365 0.1958  2 Tm 3.12, 6 Sm 3.31-3.41



--- 2 ---
Computed, not measured: a relaxed Sm6TmTl2 crystal at the PBE level of DFT.

Output
Volume (Å³/cell): 551.4
Space group: No. 15
Magnetization (μB/f.u.): 0.0

a = 9.9123 Å, b = 9.9123 Å, c = 5.9619 Å
α = 97.08°, β = 97.08°, γ = 72.28°
Closest atoms and distances in Å follow each position.
Fractional positions:
Sm 0.0548 0.8282 0.9684  4 Tl 3.23-3.50, 5 Sm 3.23-3.62, 1 Tm 3.39
Sm 0.1387 0.3889 0.1678  5 Sm 3.27-3.65, 4 Tl 3.30-3.58
Sm 0.1718 0.9452 0.5316  4 Tl 3.23-3.50, 5 Sm 3.23-3.62, 1 Tm 3.39
Sm 0.2725 0.5002 0.6992  5 Sm 3.40-3.65, 2 Tl 3.42-3.66, 3 Tm 3.47-3.52
Sm 0.3889 0.1387 0.6678  5 Sm 3.27-3.65, 4 Tl 3.30-3.58
Sm 0.5002 0.2725 0.1992  5 Sm 3.40-3.65, 2 Tl 3.42-3.66, 3 Tm 3.47-3.52
Sm 0.4998 0.7275 0.8008  5 Sm 3.40-3.65, 2 Tl 3.42-3.66, 3 Tm 3.47-3.52
Sm 0.6111 0.8613 0.3322  5 Sm 3.27-3.65, 4 Tl 3.30-3.58
Sm 0.7275 0.4998 0.3008  5 Sm 3.40-3.65, 2 Tl 3.42-3.66, 3 Tm 3.47-3.52
Sm 0.8282 0.0548 0.4684  4 Tl 3.23-3.50, 5 Sm 3.23-3.62, 1 Tm 3.39
Sm 0.8613 0.6111 0.8322  5 Sm 3.27-3.65, 4 Tl 3.30-3.58
Sm 0.9452 0.1718 0.0316  4 Tl 3.23-3.50, 5 Sm 3.23-3.62, 1 Tm 3.39
Tm 0.3596 0.6404 0.2500  10 Sm 3.39-3.74
Tm 0.6404 0.3596 0.7500  10 Sm 3.39-3.74
Tl 0.0191 0.2919 0.5963  9 Sm 3.23-3.58
Tl 0.2919 0.0191 0.0963  9 Sm 3.23-3.58
Tl 0.7081 0.9809 0.9037  9 Sm 3.23-3.58
Tl 0.9809 0.7081 0.4037  9 Sm 3.23-3.58



Quick one: most stable of them? 1



--- 1 ---
Computed, not measured: a relaxed SmTmTl2 crystal at the PBE level of DFT.

Output
Volume (Å³/cell): 110.2
Space group: No. 123
Magnetization (μB/f.u.): 0.0

a = 3.8000 Å, b = 3.8000 Å, c = 7.6284 Å
α = 90.00°, β = 90.00°, γ = 90.00°
Closest atoms and distances in Å follow each position.
Fractional positions:
Sm 0.0000 0.0000 0.0000  8 Tl 3.35
Tm 0.0000 0.0000 0.5000  8 Tl 3.25
Tl 0.5000 0.5000 0.2612  4 Tm 3.25, 4 Sm 3.35
Tl 0.5000 0.5000 0.7388  4 Tm 3.25, 4 Sm 3.35



--- 2 ---
Computed, not measured: a relaxed SmTmTl2 crystal at the PBE level of DFT.

Output
Volume (Å³/cell): 118.3
Space group: No. 166
Magnetization (μB/f.u.): 0.0

a = 9.9261 Å, b = 9.9261 Å, c = 9.9261 Å
α = 21.81°, β = 21.81°, γ = 21.81°
Closest atoms and distances in Å follow each position.
Fractional positions:
Sm 0.0000 0.0000 0.0000  6 Tl 3.30
Tm 0.5000 0.5000 0.5000  6 Tl 3.20
Tl 0.2478 0.2478 0.2478  3 Tm 3.20, 3 Sm 3.30
Tl 0.7522 0.7522 0.7522  3 Tm 3.20, 3 Sm 3.30



--- 3 ---
Computed, not measured: a relaxed SmTmTl2 crystal at the PBE level of DFT.

Output
Volume (Å³/cell): 110.7
Space group: No. 225
Magnetization (μB/f.u.): 0.0

a = 5.3892 Å, b = 5.3892 Å, c = 5.3892 Å
α = 60.00°, β = 60.00°, γ = 60.00°
Closest atoms and distances in Å follow each position.
Fractional positions:
Sm 0.0000 0.0000 0.0000  8 Tl 3.30
Tm 0.5000 0.5000 0.5000  8 Tl 3.30
Tl 0.2500 0.2500 0.2500  4 Tm 3.30, 4 Sm 3.30
Tl 0.7500 0.7500 0.7500  4 Tm 3.30, 4 Sm 3.30



Quick one: most stable of them? 1



--- 1 ---
Computed, not measured: a relaxed Sm4Tm5Tl crystal at the PBE level of DFT.

Output
Volume (Å³/cell): 326.7
Space group: No. 107
Magnetization (μB/f.u.): 0.0

a = 8.0636 Å, b = 8.0636 Å, c = 8.0636 Å
α = 97.32°, β = 97.32°, γ = 138.16°
Closest atoms and distances in Å follow each position.
Fractional positions:
Sm 0.0000 0.3144 0.3144  5 Tm 3.36-3.73, 1 Tl 3.71
Sm 0.0000 0.6856 0.6856  5 Tm 3.36-3.73, 1 Tl 3.71
Sm 0.3144 0.0000 0.3144  5 Tm 3.36-3.73, 1 Tl 3.71
Sm 0.6856 0.0000 0.6856  5 Tm 3.36-3.73, 1 Tl 3.71
Tm 0.3200 0.3200 0.6311  1 Tl 3.07, 1 Tm 3.25, 2 Sm 3.36
Tm 0.3200 0.6888 0.0000  1 Tl 3.07, 1 Tm 3.25, 2 Sm 3.36
Tm 0.6888 0.3200 0.0000  1 Tl 3.07, 1 Tm 3.25, 2 Sm 3.36
Tm 0.6888 0.6888 0.3689  1 Tl 3.07, 1 Tm 3.25, 2 Sm 3.36
Tm 0.7961 0.7961 0.0000  2 Tl 2.78-2.98
Tl 0.2791 0.2791 0.0000  6 Tm 2.78-3.07



--- 2 ---
Computed, not measured: a relaxed Sm4Tm5Tl crystal at the PBE level of DFT.

Output
Volume (Å³/cell): 309.3
Space group: No. 123
Magnetization (μB/f.u.): 0.0

a = 3.5809 Å, b = 3.5809 Å, c = 24.1226 Å
α = 90.00°, β = 90.00°, γ = 90.00°
Closest atoms and distances in Å follow each position.
Fractional positions:
Sm 0.0000 0.0000 0.1033  8 Tm 3.55, 4 Sm 3.58
Sm 0.0000 0.0000 0.3114  8 Tm 3.54-3.58, 4 Sm 3.58
Sm 0.0000 0.0000 0.6886  8 Tm 3.54-3.58, 4 Sm 3.58
Sm 0.0000 0.0000 0.8967  8 Tm 3.55, 4 Sm 3.58
Tm 0.5000 0.5000 0.0000  8 Sm 3.55, 4 Tm 3.58
Tm 0.5000 0.5000 0.2063  8 Sm 3.55-3.58, 4 Tm 3.58
Tm 0.5000 0.5000 0.4139  4 Tl 3.27, 4 Sm 3.54, 4 Tm 3.58
Tm 0.5000 0.5000 0.5861  4 Tl 3.27, 4 Sm 3.54, 4 Tm 3.58
Tm 0.5000 0.5000 0.7937  8 Sm 3.55-3.58, 4 Tm 3.58
Tl 0.0000 0.0000 0.5000  8 Tm 3.27, 4 Tl 3.58



Quick one: most stable of them? 2



--- 1 ---
Computed, not measured: a relaxed Sm5Tm2Tl crystal at the PBE level of DFT.

Output
Volume (Å³/cell): 252.5
Space group: No. 12
Magnetization (μB/f.u.): 0.0

a = 8.7549 Å, b = 8.7549 Å, c = 3.4600 Å
α = 101.33°, β = 101.33°, γ = 80.13°
Closest atoms and distances in Å follow each position.
Fractional positions:
Sm 0.0000 0.0000 0.0000  10 Sm 3.46-3.57, 2 Tm 3.49
Sm 0.1001 0.6361 0.3684  3 Tm 3.28-3.61, 7 Sm 3.42-3.57
Sm 0.3639 0.8999 0.6316  3 Tm 3.28-3.61, 7 Sm 3.42-3.57
Sm 0.6361 0.1001 0.3684  3 Tm 3.28-3.61, 7 Sm 3.42-3.57
Sm 0.8999 0.3639 0.6316  3 Tm 3.28-3.61, 7 Sm 3.42-3.57
Tm 0.2695 0.2695 0.2690  7 Sm 3.28-3.61, 2 Tl 3.45, 2 Tm 3.46
Tm 0.7305 0.7305 0.7310  7 Sm 3.28-3.61, 2 Tl 3.45, 2 Tm 3.46
Tl 0.5000 0.5000 0.0000  4 Tm 3.45, 2 Tl 3.46



--- 2 ---
Computed, not measured: a relaxed Sm5Tm2Tl crystal at the PBE level of DFT.

Output
Volume (Å³/cell): 249.8
Space group: No. 107
Magnetization (μB/f.u.): 0.0

a = 6.8768 Å, b = 6.8768 Å, c = 6.8768 Å
α = 111.01°, β = 111.01°, γ = 106.43°
Closest atoms and distances in Å follow each position.
Fractional positions:
Sm 0.0000 0.0000 0.0000  8 Sm 3.39-3.56, 1 Tl 3.43
Sm 0.4651 0.4651 0.5431  4 Sm 3.39-3.56, 2 Tl 3.40-3.51, 4 Tm 3.43-3.46
Sm 0.4651 0.9220 0.0000  4 Sm 3.39-3.56, 2 Tl 3.40-3.51, 4 Tm 3.43-3.46
Sm 0.9220 0.4651 0.0000  4 Sm 3.39-3.56, 2 Tl 3.40-3.51, 4 Tm 3.43-3.46
Sm 0.9220 0.9220 0.4569  4 Sm 3.39-3.56, 2 Tl 3.40-3.51, 4 Tm 3.43-3.46
Tm 0.4409 0.9409 0.5000  8 Sm 3.43-3.46
Tm 0.9409 0.4409 0.5000  8 Sm 3.43-3.46
Tl 0.4168 0.4168 0.0000  9 Sm 3.40-3.51



Quick one: most stable of them? 2



--- 1 ---
Computed, not measured: a relaxed Sm2Tm3Tl crystal at the PBE level of DFT.

Output
Volume (Å³/cell): 181.7
Space group: No. 65
Magnetization (μB/f.u.): 0.0

a = 8.8280 Å, b = 8.8280 Å, c = 5.5040 Å
α = 90.00°, β = 90.00°, γ = 154.94°
Closest atoms and distances in Å follow each position.
Fractional positions:
Sm 0.1609 0.8391 0.0000  4 Tm 3.36, 2 Tl 3.37, 2 Sm 3.62
Sm 0.8391 0.1609 0.0000  4 Tm 3.36, 2 Tl 3.37, 2 Sm 3.62
Tm 0.0000 0.0000 0.5000  4 Tl 3.35, 4 Tm 3.52
Tm 0.3284 0.6716 0.5000  4 Tm 3.31-3.52, 4 Sm 3.36
Tm 0.6716 0.3284 0.5000  4 Tm 3.31-3.52, 4 Sm 3.36
Tl 0.5000 0.5000 0.0000  4 Tm 3.35, 4 Sm 3.37



--- 2 ---
Computed, not measured: a relaxed Sm2Tm3Tl crystal at the PBE level of DFT.

Output
Volume (Å³/cell): 191.2
Space group: No. 44
Magnetization (μB/f.u.): 0.0

a = 9.4075 Å, b = 9.4075 Å, c = 9.4075 Å
α = 158.96°, β = 45.50°, γ = 140.13°
Closest atoms and distances in Å follow each position.
Fractional positions:
Sm 0.1906 0.0000 0.1906  4 Tm 3.31-3.48, 2 Sm 3.44, 1 Tl 3.59
Sm 0.8094 0.0000 0.8094  4 Tm 3.31-3.48, 2 Sm 3.44, 1 Tl 3.59
Tm 0.1977 0.6977 0.5000  2 Tl 3.17, 6 Tm 3.44-3.46
Tm 0.3580 0.4928 0.8653  1 Tl 2.99, 1 Sm 3.31
Tm 0.6275 0.4928 0.1347  1 Tl 2.99, 1 Sm 3.31
Tl 0.7826 0.7826 0.0000  4 Tm 2.99-3.17



Quick one: most stable of them? 1